TaVFe2, optimized geometry, DFT PBE-GGA; magnetization = 6.7 μB per cell; energy of formation from the pure elements = 0.287 eV per atom; density of states at the Fermi level = 17.47 states/eV/cell
1.0
-1.350 -3.819 2.520
3.541 -2.305 -1.597
5.839 3.317 8.157
Ta V Fe
4 4 8
Cartesian
5.125 1.832 5.523 Ta
2.529 -3.327 0.829 Ta
4.255 -0.820 1.037 Ta
5.500 0.519 8.251 Ta
5.955 -1.381 5.615 V
2.074 -1.427 3.465 V
3.463 0.888 3.203 V
5.916 0.123 3.358 V
0.000 0.000 0.000 Fe
4.015 -1.404 4.540 Fe
7.244 0.158 6.252 Fe
0.785 -2.966 2.828 Fe
6.531 -1.860 7.583 Fe
1.498 -0.948 1.497 Fe
1.770 -1.153 -0.798 Fe
2.244 -0.251 5.338 Fe